(1)
Crystalline MnH2Os at its relaxed geometry, computed with PBE-GGA.

Computed properties:
SG: I-42d (122)
Total magnetic moment (μB/f.u.): 0.00

Unit cell a=3.9655 b=3.9655 c=4.8773 alpha=66.01 beta=66.01 gamma=90.00
Fractional positions:
H 0.5949 0.1250 0.2500
H 0.1551 0.6250 0.2500
H 0.3750 0.4051 0.7500
H 0.8750 0.8449 0.7500
Mn 0.5000 0.5000 0.0000
Mn 0.2500 0.7500 0.5000
Os 0.0000 0.0000 0.0000
Os 0.7500 0.2500 0.5000

***

(2)
Crystalline MnH2Os at its relaxed geometry, computed with PBE-GGA.

Computed properties:
SG: Fm-3m (225)
Total magnetic moment (μB/f.u.): 3.37

Unit cell a=3.6479 b=3.6479 c=3.6479 alpha=60.00 beta=60.00 gamma=60.00
Fractional positions:
H 0.2500 0.2500 0.2500
H 0.7500 0.7500 0.7500
Mn 0.0000 0.0000 0.0000
Os 0.5000 0.5000 0.5000

***

Last place for stability: (2)

***

(1)
Crystalline MnHOs at its relaxed geometry, computed with PBE-GGA.

Computed properties:
SG: R3m (160)
Total magnetic moment (μB/f.u.): 1.10

Unit cell a=2.6995 b=2.6995 c=13.2063 alpha=90.00 beta=90.00 gamma=120.00
Fractional positions:
Mn 0.0000 0.0000 0.2396
Mn 0.3333 0.6667 0.9063
Mn 0.6667 0.3333 0.5729
H 0.0000 0.0000 0.5068
H 0.3333 0.6667 0.1735
H 0.6667 0.3333 0.8401
Os 0.0000 0.0000 0.7266
Os 0.3333 0.6667 0.3933
Os 0.6667 0.3333 0.0599

***

(2)
Crystalline MnHOs at its relaxed geometry, computed with PBE-GGA.

Computed properties:
SG: P3m1 (156)
Total magnetic moment (μB/f.u.): 0.00

Unit cell a=2.7252 b=2.7252 c=4.2220 alpha=90.00 beta=90.00 gamma=120.00
Fractional positions:
Mn 0.6667 0.3333 0.1261
H 0.3333 0.6667 0.3134
Os 0.0000 0.0000 0.6454

***

Last place for stability: (1)

***

(1)
Crystalline MnHOs at its relaxed geometry, computed with PBE-GGA.

Computed properties:
SG: P4mm (99)
Total magnetic moment (μB/f.u.): 0.07

Unit cell a=2.6673 b=2.6673 c=3.8301 alpha=90.00 beta=90.00 gamma=90.00
Fractional positions:
Mn 0.0000 0.0000 0.5671
H 0.5000 0.5000 0.5260
Os 0.5000 0.5000 0.0366

***

(2)
Crystalline MnHOs at its relaxed geometry, computed with PBE-GGA.

Computed properties:
SG: P3m1 (156)
Total magnetic moment (μB/f.u.): 0.00

Unit cell a=2.7269 b=2.7269 c=4.3490 alpha=90.00 beta=90.00 gamma=120.00
Fractional positions:
Mn 0.0000 0.0000 0.3586
H 0.6667 0.3333 0.2282
Os 0.6667 0.3333 0.8215

***

(3)
Crystalline MnHOs at its relaxed geometry, computed with PBE-GGA.

Computed properties:
SG: Cm (8)
Total magnetic moment (μB/f.u.): 0.00

Unit cell a=2.7047 b=2.7510 c=7.8434 alpha=90.00 beta=93.94 gamma=90.00
Fractional positions:
Mn 0.7675 0.0000 0.3071
Mn 0.7675 0.5000 0.8071
H 0.0915 0.0000 0.9395
H 0.0915 0.5000 0.4395
Os 0.2156 0.0000 0.6083
Os 0.2156 0.5000 0.1083

***

Last place for stability: (3)

***

(1)
Crystalline MnHOs2 at its relaxed geometry, computed with PBE-GGA.

Computed properties:
SG: Fm-3m (225)
Total magnetic moment (μB/f.u.): 1.00

Unit cell a=4.0271 b=4.0271 c=4.0271 alpha=60.00 beta=60.00 gamma=60.00
Fractional positions:
H 0.0000 0.0000 0.0000
Mn 0.5000 0.5000 0.5000
Os 0.2500 0.2500 0.2500
Os 0.7500 0.7500 0.7500

***

(2)
Crystalline MnHOs2 at its relaxed geometry, computed with PBE-GGA.

Computed properties:
SG: I-42d (122)
Total magnetic moment (μB/f.u.): 0.00

Unit cell a=5.9405 b=5.9405 c=4.8752 alpha=52.46 beta=52.46 gamma=90.00
Fractional positions:
H 0.5000 0.5000 0.0000
H 0.2500 0.7500 0.5000
Mn 0.0000 0.0000 0.0000
Mn 0.7500 0.2500 0.5000
Os 0.5356 0.1250 0.2500
Os 0.2144 0.6250 0.2500
Os 0.3750 0.4644 0.7500
Os 0.8750 0.7856 0.7500

***

Last place for stability: (1)